# Ti4Pd15Au

Ti4Pd15Au after structural relaxation (PBE, Alexandria).

a b c (Å): 3.9439 3.9439 19.7376
angles (deg): 90.00 90.00 90.00
Fractional coordinates of all 20 atoms:
Ti (0.0000, 0.0000, 0.1977)
Ti (0.0000, 0.0000, 0.3999)
Ti (0.0000, 0.0000, 0.6001)
Ti (0.0000, 0.0000, 0.8023)
Pd (0.5000, 0.5000, 0.0000)
Pd (0.5000, 0.5000, 0.2050)
Pd (0.5000, 0.5000, 0.4014)
Pd (0.5000, 0.5000, 0.5986)
Pd (0.5000, 0.5000, 0.7950)
Pd (0.5000, 0.0000, 0.1072)
Pd (0.5000, 0.0000, 0.3034)
Pd (0.5000, 0.0000, 0.5000)
Pd (0.5000, 0.0000, 0.6966)
Pd (0.5000, 0.0000, 0.8928)
Pd (0.0000, 0.5000, 0.1072)
Pd (0.0000, 0.5000, 0.3034)
Pd (0.0000, 0.5000, 0.5000)
Pd (0.0000, 0.5000, 0.6966)
Pd (0.0000, 0.5000, 0.8928)
Au (0.0000, 0.0000, 0.0000)

Computed properties:
The total DFT energy (no corrections) is -6.181 eV per atom. Its total magnetic moment is 0.0 μB/f.u. The energy of formation comes out at -544.0 meV/atom. As for the symmetry: P4/mmm.

# TiPd5Au8

TiPd5Au8 after structural relaxation (PBE, Alexandria).

a b c (Å): 6.8800 6.8800 6.8800
angles (deg): 109.22 109.98 109.22
Fractional coordinates of all 14 atoms:
Ti (0.2500, 0.5000, 0.7500)
Pd (0.9525, 0.4130, 0.1451)
Pd (0.8549, 0.8075, 0.2679)
Pd (0.7321, 0.5870, 0.5396)
Pd (0.5000, 0.0000, 0.5000)
Pd (0.4604, 0.1925, 0.0475)
Au (0.1111, 0.7712, 0.0075)
Au (0.9925, 0.1037, 0.7637)
Au (0.8202, 0.2097, 0.3941)
Au (0.6059, 0.4261, 0.8156)
Au (0.3895, 0.5739, 0.1798)
Au (0.6601, 0.8963, 0.8889)
Au (0.2363, 0.2288, 0.3399)
Au (0.1844, 0.7903, 0.6105)

Computed properties:
The total DFT energy (no corrections) is -4.306 eV per atom. Its total magnetic moment is 0.0 μB/f.u. The energy of formation comes out at -14.8 meV/atom. As for the symmetry: I-4.

# TiPdAu2

TiPdAu2 after structural relaxation (PBE, Alexandria).

a b c (Å): 4.7638 5.0165 5.5362
angles (deg): 90.00 90.00 90.00
Fractional coordinates of all 8 atoms:
Ti (0.2500, 0.3538, 0.2501)
Ti (0.7500, 0.6462, 0.7499)
Pd (0.7500, 0.6456, 0.2500)
Pd (0.2500, 0.3544, 0.7500)
Au (0.7500, 0.1603, 0.4991)
Au (0.2500, 0.8397, 0.5009)
Au (0.2500, 0.8397, 0.9991)
Au (0.7500, 0.1603, 0.0009)

Computed properties:
The total DFT energy (no corrections) is -5.354 eV per atom. Its total magnetic moment is 0.0 μB/f.u. The energy of formation comes out at -443.1 meV/atom. As for the symmetry: Pmmn.

# Ti6Pd12Au

Ti6Pd12Au after structural relaxation (PBE, Alexandria).

a b c (Å): 7.4250 7.4250 7.4250
angles (deg): 110.84 110.84 110.84
Fractional coordinates of all 19 atoms:
Ti (0.6251, 0.9106, 0.4038)
Ti (0.5962, 0.3749, 0.0894)
Ti (0.0894, 0.5962, 0.3749)
Ti (0.3749, 0.0894, 0.5962)
Ti (0.4038, 0.6251, 0.9106)
Ti (0.9106, 0.4038, 0.6251)
Pd (0.7977, 0.6691, 0.5236)
Pd (0.5236, 0.7977, 0.6691)
Pd (0.6691, 0.5236, 0.7977)
Pd (0.2023, 0.3309, 0.4764)
Pd (0.4764, 0.2023, 0.3309)
Pd (0.3309, 0.4764, 0.2023)
Pd (0.8889, 0.8315, 0.2647)
Pd (0.1685, 0.7353, 0.1111)
Pd (0.7353, 0.1111, 0.1685)
Pd (0.1111, 0.1685, 0.7353)
Pd (0.8315, 0.2647, 0.8889)
Pd (0.2647, 0.8889, 0.8315)
Au (0.0000, 0.0000, 0.0000)

Computed properties:
The total DFT energy (no corrections) is -6.432 eV per atom. Its total magnetic moment is 0.0 μB/f.u. The energy of formation comes out at -487.1 meV/atom. As for the symmetry: R-3.

# TiPd14Au

TiPd14Au after structural relaxation (PBE, Alexandria).

a b c (Å): 5.6386 5.6386 7.8115
angles (deg): 90.00 90.00 90.00
Fractional coordinates of all 16 atoms:
Ti (0.8750, 0.8750, 0.5000)
Pd (0.8750, 0.8750, 0.0000)
Pd (0.3750, 0.3750, 0.0000)
Pd (0.8750, 0.3750, 0.5000)
Pd (0.8750, 0.3750, 0.0000)
Pd (0.3750, 0.8750, 0.5000)
Pd (0.3750, 0.8750, 0.0000)
Pd (0.6300, 0.1200, 0.2535)
Pd (0.6300, 0.1200, 0.7465)
Pd (0.1200, 0.6300, 0.2535)
Pd (0.1200, 0.6300, 0.7465)
Pd (0.6300, 0.6300, 0.2535)
Pd (0.6300, 0.6300, 0.7465)
Pd (0.1200, 0.1200, 0.2535)
Pd (0.1200, 0.1200, 0.7465)
Au (0.3750, 0.3750, 0.5000)

Computed properties:
The total DFT energy (no corrections) is -5.417 eV per atom. Its total magnetic moment is 0.0 μB/f.u. The energy of formation comes out at -175.0 meV/atom. As for the symmetry: P4/mmm.

# Ti4Pd3Au4

Ti4Pd3Au4 after structural relaxation (PBE, Alexandria).

a b c (Å): 3.4653 6.5975 8.7381
angles (deg): 90.00 90.00 105.23
Fractional coordinates of all 11 atoms:
Ti (0.7492, 0.4985, 0.7486)
Ti (0.7492, 0.4985, 0.2514)
Ti (0.9241, 0.8481, 0.5000)
Ti (0.9298, 0.8597, 0.0000)
Pd (0.3969, 0.7938, 0.2685)
Pd (0.3969, 0.7938, 0.7315)
Pd (0.2775, 0.5550, 0.0000)
Au (0.6259, 0.2518, 0.5000)
Au (0.5996, 0.1992, 0.0000)
Au (0.0747, 0.1493, 0.7460)
Au (0.0747, 0.1493, 0.2540)

Computed properties:
The total DFT energy (no corrections) is -5.775 eV per atom. Its total magnetic moment is 0.0 μB/f.u. The energy of formation comes out at -295.7 meV/atom. As for the symmetry: Amm2.

# TiPdAu2

TiPdAu2 after structural relaxation (PBE, Alexandria).

a b c (Å): 4.5612 4.5612 4.5612
angles (deg): 60.00 60.00 60.00
Fractional coordinates of all 4 atoms:
Au (0.2500, 0.2500, 0.2500)
Au (0.7500, 0.7500, 0.7500)
Pd (0.5000, 0.5000, 0.5000)
Ti (0.0000, 0.0000, 0.0000)

Computed properties:
The total DFT energy (no corrections) is -5.259 eV per atom. Its total magnetic moment is 0.0 μB/f.u. The energy of formation comes out at -348.8 meV/atom. As for the symmetry: Fm-3m.

# Tl2PdAu

Tl2PdAu after structural relaxation (PBE, Alexandria).

a b c (Å): 3.2667 3.2667 10.3081
angles (deg): 80.88 80.88 60.00
Fractional coordinates of all 4 atoms:
Tl (0.0880, 0.0880, 0.7360)
Tl (0.9120, 0.9120, 0.2640)
Au (0.5000, 0.5000, 0.5000)
Pd (0.0000, 0.0000, 0.0000)

Computed properties:
The total DFT energy (no corrections) is -3.090 eV per atom. Its total magnetic moment is 0.0 μB/f.u. The energy of formation comes out at 210.3 meV/atom. As for the symmetry: R-3m. Its offset from the most stable computed form is 1.28 eV/f.u.